A plane-wave DFT calculation with meta-GGA SCAN was carried out for a crystal of ScZn2Br relaxed with PBEsol.

abc: 8.335 8.335 8.335
angles: 23.87 23.87 23.87
Fractional coordinates of all 4 atoms:
Sc  0.000  0.000  0.000
Zn  0.252  0.252  0.252
Zn  0.522  0.522  0.522
Br  0.741  0.741  0.741

ρ = 5.1 g cm⁻³
energy relative to the elements, uncorrected = -417 meV per atom
total magnetic moment = 0.00 μB/atom